The following is a DFT calculation (PBE) of a relaxed structure of La2Nd2Ag3.

Lattice parameters (Å, degrees): 5.2609 5.2944 9.1431 89.94 106.36 120.13
With the nearest neighbours (Å) after each atom.
Element x y z (fractional)
La  0.2573  0.1286  0.3854  5 Ag 3.24-3.33, 1 La 3.61
La  0.7427  0.8714  0.6146  5 Ag 3.24-3.33, 1 La 3.61
Nd  0.7538  0.3768  0.1313  7 Ag 3.18-3.25
Nd  0.2462  0.6232  0.8687  7 Ag 3.18-3.25
Ag  0.0000  0.0000  0.0000  6 Nd 3.25, 2 La 3.33
Ag  0.5062  0.2528  0.7606  4 Nd 3.18-3.21, 4 La 3.24-3.30
Ag  0.4938  0.7472  0.2394  4 Nd 3.18-3.21, 4 La 3.24-3.30

## Properties
Formation enthalpy at 0 K = -0.12 eV per atom



The following is a DFT calculation (PBE) of a relaxed structure of La2GaTcC.

Lattice parameters (Å, degrees): 5.3099 5.3099 4.0011 90.00 90.00 90.00
With the nearest neighbours (Å) after each atom.
Element x y z (fractional)
C  0.0000  0.0000  0.0000  2 Tc 2.00
Tc  0.0000  0.0000  0.5000  2 C 2.00
Ga  0.5000  0.5000  0.5000  8 La 3.32
La  0.0000  0.5000  0.0000  2 C 2.65
La  0.5000  0.0000  0.0000  2 C 2.65

## Properties
Formation enthalpy at 0 K = -0.24 eV per atom